Entry 1:
! PBE CrAgBi2I, optimized geometry; values from VASP
! uncorrected formation energy: 556.5 meV per atom
&SYSTEM
  ibrav = 0, nat = 5, ntyp = 4
/
ATOMIC_SPECIES
Cr 52.00 Cr.upf
Ag 107.87 Ag.upf
Bi 208.98 Bi.upf
I 126.90 I.upf
ATOMIC_POSITIONS angstrom
Cr 0.000 0.000 0.000
Ag 2.656 2.656 2.776
Bi 0.000 2.656 0.000
Bi 2.656 0.000 0.000
I 0.000 0.000 2.776
CELL_PARAMETERS angstrom
5.312 0.000 0.000
0.000 5.312 0.000
0.000 0.000 5.553

---

Entry 2:
! PBE LaCrAgBi2, optimized geometry; values from VASP
! energy of formation: 5.561 eV/f.u.
&SYSTEM
  ibrav = 0, nat = 5, ntyp = 4
/
ATOMIC_SPECIES
La 138.91 La.upf
Cr 52.00 Cr.upf
Ag 107.87 Ag.upf
Bi 208.98 Bi.upf
ATOMIC_POSITIONS angstrom
La 0.000 0.000 0.000
Cr 0.000 0.000 2.780
Ag 3.064 3.064 2.780
Bi 0.000 3.064 0.000
Bi 3.064 0.000 0.000
CELL_PARAMETERS angstrom
6.128 0.000 0.000
0.000 6.128 0.000
0.000 0.000 5.560